DFT (PBE-GGA) results for an optimized crystal structure of Sm7Zn2Sb2.

VASP energy	-4.202	eV per atom

Structure (POSCAR):
```
Sm7Zn2Sb2
1.0
7.2576 -0.0028 -0.4681
0.0029 6.6867 0.0030
-0.9194 -0.0030 7.2144
Sm Sb Zn
7 2 2
direct
0.5000 0.7410 0.0000
0.5000 0.7559 0.5000
0.5000 0.2441 0.5000
0.0000 0.7410 0.5000
0.0000 0.0000 0.0000
0.5000 0.2590 0.0000
0.0000 0.2590 0.5000
0.8048 0.5000 0.8048
0.1952 0.5000 0.1952
0.2744 0.0000 0.7256
0.7256 0.0000 0.2744
```